No. 1
An optimized crystal structure of GaHg2W. Source: the Open Quantum Materials Database, functional GGA-PBE.

a = 4.7730 Å, b = 4.7730 Å, c = 4.7730 Å
α = 60.00°, β = 60.00°, γ = 60.00°
Last column: nearest neighbours and their distance in Å.
Fractional positions:
Ga: 0.5000 0.5000 0.5000  4 Hg 2.92, 4 W 2.92
Hg: 0.0000 0.0000 0.0000  4 W 2.92, 4 Hg 2.92
Hg: 0.7500 0.7500 0.7500  4 Ga 2.92, 4 Hg 2.92
W: 0.2500 0.2500 0.2500  4 Hg 2.92, 4 Ga 2.92

Values from the calculation:
Electronic total energy in eV/atom: -3.2056

---

No. 2
An optimized crystal structure of AcPrHg. Source: the Open Quantum Materials Database, functional GGA-PBE.

a = 5.4255 Å, b = 5.4255 Å, c = 5.4255 Å
α = 60.00°, β = 60.00°, γ = 60.00°
Last column: nearest neighbours and their distance in Å.
Fractional positions:
Ac: 0.2500 0.2500 0.2500  4 Hg 3.32
Hg: 0.0000 0.0000 0.0000  4 Pr 3.32, 4 Ac 3.32
Pr: 0.7500 0.7500 0.7500  4 Hg 3.32

Values from the calculation:
ΔE_f in eV/atom: -0.106

---

No. 3
An optimized crystal structure of TlTcBi2. Source: the Open Quantum Materials Database, functional GGA-PBE.

a = 5.1509 Å, b = 5.1509 Å, c = 5.1509 Å
α = 60.00°, β = 60.00°, γ = 60.00°
Last column: nearest neighbours and their distance in Å.
Fractional positions:
Bi: 0.0000 0.0000 0.0000  4 Tc 3.15, 4 Bi 3.15
Bi: 0.2500 0.2500 0.2500  4 Tl 3.15, 4 Bi 3.15
Tc: 0.7500 0.7500 0.7500  4 Tl 3.15, 4 Bi 3.15
Tl: 0.5000 0.5000 0.5000  4 Tc 3.15, 4 Bi 3.15

Values from the calculation:
Electronic total energy in eV/atom: -4.3864

---

No. 4
An optimized crystal structure of Nd2PdAu. Source: the Open Quantum Materials Database, functional GGA-PBE.

a = 4.7372 Å, b = 5.8392 Å, c = 5.8392 Å
α = 39.36°, β = 90.00°, γ = 90.00°
Last column: nearest neighbours and their distance in Å.
Fractional positions:
Au: 0.0000 0.9156 0.9156  2 Pd 3.02, 7 Nd 3.07-3.13
Nd: 0.5000 0.3620 0.3620  3 Pd 3.03-3.15, 4 Au 3.13
Nd: 0.0000 0.6362 0.6362  3 Au 3.07-3.12, 4 Pd 3.13
Pd: 0.5000 0.0861 0.0861  2 Au 3.02, 7 Nd 3.03-3.15

Values from the calculation:
ΔE_f in eV/atom: -0.815

---

No. 5
An optimized crystal structure of Ni15Hg. Source: the Open Quantum Materials Database, functional GGA-PBE.

a = 4.2723 Å, b = 33.6212 Å, c = 4.2724 Å
α = 90.00°, β = 108.84°, γ = 90.00°
Last column: nearest neighbours and their distance in Å.
Fractional positions:
Hg: 0.0000 0.2070 0.0000  6 Ni 2.57-2.79
Hg: 0.0000 0.7931 0.5000  6 Ni 2.57-2.79
Ni: 0.5000 0.2602 0.0000  9 Ni 2.43-2.50
Ni: 0.0000 0.2971 0.0000  11 Ni 2.47-2.50
Ni: 0.5000 0.3344 0.0000  12 Ni 2.46-2.50
Ni: 0.0000 0.3715 0.0000  12 Ni 2.47-2.50
Ni: 0.5000 0.4082 0.0000  12 Ni 2.47-2.49
Ni: 0.0000 0.4450 0.0000  12 Ni 2.47-2.49
Ni: 0.5000 0.4817 0.0000  12 Ni 2.47-2.49
Ni: 0.0000 0.5183 0.0000  12 Ni 2.47-2.49
Ni: 0.5000 0.5552 0.0000  12 Ni 2.47-2.49
Ni: 0.0000 0.5918 0.0000  12 Ni 2.47-2.49
Ni: 0.5000 0.6287 0.0000  12 Ni 2.46-2.49
Ni: 0.0000 0.6656 0.0000  12 Ni 2.46-2.49
Ni: 0.5000 0.7019 0.0000  12 Ni 2.42-2.49
Ni: 0.0000 0.7398 0.0000  9 Ni 2.43-2.49
Ni: 0.5000 0.7739 0.0000  5 Ni 2.42-2.43, 2 Hg 2.57
Ni: 0.5000 0.2260 0.5000  5 Ni 2.42-2.43, 2 Hg 2.57
Ni: 0.0000 0.2602 0.5000  9 Ni 2.43-2.49
Ni: 0.5000 0.2981 0.5000  12 Ni 2.42-2.49
Ni: 0.0000 0.3344 0.5000  12 Ni 2.46-2.49
Ni: 0.5000 0.3713 0.5000  12 Ni 2.46-2.49
Ni: 0.0000 0.4082 0.5000  12 Ni 2.47-2.49
Ni: 0.5000 0.4448 0.5000  12 Ni 2.47-2.49
Ni: 0.0000 0.4817 0.5000  12 Ni 2.47-2.49
Ni: 0.5000 0.5183 0.5000  12 Ni 2.47-2.49
Ni: 0.0000 0.5550 0.5000  12 Ni 2.47-2.49
Ni: 0.5000 0.5918 0.5000  12 Ni 2.47-2.49
Ni: 0.0000 0.6285 0.5000  12 Ni 2.47-2.50
Ni: 0.5000 0.6656 0.5000  12 Ni 2.46-2.49
Ni: 0.0000 0.7029 0.5000  11 Ni 2.47-2.50
Ni: 0.5000 0.7398 0.5000  9 Ni 2.43-2.49

Values from the calculation:
ΔE_f in eV/atom: 0.121

---

No. 6
An optimized crystal structure of PrY2Zn3AgAu2. Source: the Open Quantum Materials Database, functional GGA-PBE.

a = 3.8907 Å, b = 7.6366 Å, c = 7.6366 Å
α = 120.46°, β = 90.00°, γ = 90.00°
Last column: nearest neighbours and their distance in Å.
Fractional positions:
Ag: 0.0000 0.9956 0.9956  6 Zn 2.71-2.78
Au: 0.5000 0.6729 0.3317  3 Zn 2.80-2.93, 4 Y 2.99-3.00, 2 Pr 3.07
Au: 0.5000 0.3317 0.6729  3 Zn 2.80-2.93, 4 Y 2.99-3.00, 2 Pr 3.07
Pr: 0.0000 0.4070 0.4070  4 Au 3.07, 1 Ag 3.12, 6 Zn 3.23-3.36
Y: 0.0000 0.5942 0.0000  4 Au 2.99-3.00, 1 Ag 3.08, 6 Zn 3.22-3.34
Y: 0.0000 0.0000 0.5942  4 Au 2.99-3.00, 1 Ag 3.08, 6 Zn 3.22-3.34
Zn: 0.5000 0.9956 0.2558  2 Ag 2.78, 2 Au 2.80-2.91
Zn: 0.5000 0.7472 0.7472  2 Ag 2.71, 2 Au 2.93
Zn: 0.5000 0.2558 0.9956  2 Ag 2.78, 2 Au 2.80-2.91

Values from the calculation:
ΔE_f in eV/atom: -0.562